Density functional theory data (PBE) for an optimized crystal structure of NiOs2Au.

Cell lengths 4.716, 4.716, 4.716 Å; angles 131.81, 131.81, 70.53 degrees
Fractional positions:
Au 0.500 0.500 0.000
Ni 0.750 0.250 0.500
Os 0.000 0.000 0.000
Os 0.250 0.750 0.500

## Properties
E above lowest polymorph = 0.189 eV/atom
Size of the total moment = 0.000 Bohr magnetons per cell
Energy relative to the elements = 0.432 eV/atom
Symmetry = No. 119
Raw total energy = -7.448 eV/atom

***

Density functional theory data (PBE) for an optimized crystal structure of NiOsAu2.

Cell lengths 4.843, 4.843, 4.944 Å; angles 79.40, 79.40, 32.92 degrees
Site moments in Bohr magnetons follow the coordinates.
Fractional positions:
Au 0.994 0.994 0.011  0.04
Au 0.758 0.758 0.742  0.02
Ni 0.511 0.511 0.479  0.43
Os 0.237 0.237 0.268  0.42

## Properties
E above lowest polymorph = 0.169 eV/atom
Size of the total moment = 0.914 Bohr magnetons per cell
Energy relative to the elements = 0.441 eV/atom
Symmetry = No. 8
Raw total energy = -5.450 eV/atom

***

Density functional theory data (PBE) for an optimized crystal structure of NiOsAu2.

Cell lengths 2.756, 2.756, 9.494 Å; angles 90.00, 90.00, 119.34 degrees
Site moments in Bohr magnetons follow the coordinates.
Fractional positions:
Au 0.000 0.000 0.014  0.03
Au 0.000 0.000 0.486  0.03
Ni 0.500 0.500 0.250  0.57
Os 0.500 0.500 0.750  0.34

## Properties
E above lowest polymorph = 0.260 eV/atom
Size of the total moment = 0.966 Bohr magnetons per cell
Energy relative to the elements = 0.532 eV/atom
Symmetry = No. 65
Raw total energy = -5.360 eV/atom

***

Density functional theory data (PBE) for an optimized crystal structure of NiOs4Au.

Cell lengths 5.141, 5.141, 5.141 Å; angles 60.00, 60.00, 60.00 degrees
Site moments in Bohr magnetons follow the coordinates.
Fractional positions:
Ni 0.000 0.000 0.000  0.12
Os 0.876 0.375 0.375  0.05
Os 0.375 0.375 0.876  0.05
Os 0.375 0.876 0.375  0.05
Os 0.375 0.375 0.375  0.05
Au 0.750 0.750 0.750  0.00

## Properties
Size of the total moment = 0.306 Bohr magnetons per cell
Energy relative to the elements = 0.977 eV/atom
Symmetry = No. 216
Raw total energy = -8.019 eV/atom

***

Density functional theory data (PBE) for an optimized crystal structure of NiOs2Au.

Cell lengths 4.681, 4.681, 4.797 Å; angles 81.06, 81.06, 34.03 degrees
Fractional positions:
Au 0.499 0.499 0.519
Ni 0.746 0.746 0.754
Os 0.000 0.000 0.017
Os 0.256 0.256 0.210

## Properties
E above lowest polymorph = 0.139 eV/atom
Size of the total moment = 0.000 Bohr magnetons per cell
Energy relative to the elements = 0.381 eV/atom
Symmetry = No. 8
Raw total energy = -7.498 eV/atom

***

Density functional theory data (PBE) for an optimized crystal structure of NiOs2Au.

Cell lengths 4.365, 4.365, 4.365 Å; angles 60.00, 60.00, 60.00 degrees
Site moments in Bohr magnetons follow the coordinates.
Fractional positions:
Au 0.500 0.500 0.500  0.03
Ni 0.250 0.250 0.250  0.30
Os 0.000 0.000 0.000  0.42
Os 0.750 0.750 0.750  0.19

## Properties
E above lowest polymorph = 0.445 eV/atom
Size of the total moment = 0.959 Bohr magnetons per cell
Energy relative to the elements = 0.688 eV/atom
Symmetry = No. 216
Raw total energy = -7.192 eV/atom

***

Density functional theory data (PBE) for an optimized crystal structure of NiOsPt2Au.

Cell lengths 4.763, 5.073, 4.763 Å; angles 90.00, 90.00, 90.00 degrees
Fractional positions:
Os 0.000 0.000 0.000
Au 0.000 0.500 0.000
Pt 0.000 0.000 0.500
Pt 0.500 0.000 0.000
Ni 0.500 0.500 0.500

## Properties
Size of the total moment = 0.000 Bohr magnetons per cell
Energy relative to the elements = 1.639 eV/atom
Symmetry = No. 123
Raw total energy = -4.835 eV/atom

***

Density functional theory data (PBE) for an optimized crystal structure of NiOs2AuSe.

Cell lengths 4.935, 4.627, 4.935 Å; angles 90.00, 90.00, 90.00 degrees
Site moments in Bohr magnetons follow the coordinates.
Fractional positions:
Os 0.000 0.000 0.500  2.43
Os 0.500 0.000 0.000  1.79
Au 0.000 0.000 0.000  0.22
Se 0.500 0.500 0.500  0.04
Ni 0.000 0.500 0.000  0.86

## Properties
Size of the total moment = 5.704 Bohr magnetons per cell
Symmetry = No. 123
Raw total energy = -4.631 eV/atom

***

Density functional theory data (PBE) for an optimized crystal structure of Ni2SnOsAu.

Cell lengths 4.575, 5.001, 4.575 Å; angles 90.00, 90.00, 90.00 degrees
Site moments in Bohr magnetons follow the coordinates.
Fractional positions:
Os 0.500 0.500 0.500  2.48
Au 0.000 0.500 0.000  0.00
Sn 0.000 0.000 0.000  0.00
Ni 0.000 0.000 0.500  0.18
Ni 0.500 0.000 0.000  0.27

## Properties
Size of the total moment = 3.041 Bohr magnetons per cell
Energy relative to the elements = 1.763 eV/atom
Symmetry = No. 123
Raw total energy = -4.252 eV/atom

***

Density functional theory data (PBE) for an optimized crystal structure of TcNi2OsAu.

Cell lengths 4.456, 4.638, 4.456 Å; angles 90.00, 90.00, 90.00 degrees
Site moments in Bohr magnetons follow the coordinates.
Fractional positions:
Os 0.000 0.500 0.000  0.59
Au 0.500 0.500 0.500  0.00
Tc 0.000 0.000 0.000  0.05
Ni 0.000 0.000 0.500  0.01
Ni 0.500 0.000 0.000  0.05

## Properties
Size of the total moment = 0.751 Bohr magnetons per cell
Energy relative to the elements = 1.552 eV/atom
Symmetry = No. 123
Raw total energy = -5.735 eV/atom

***

Density functional theory data (PBE) for an optimized crystal structure of TiNiOs2Au.

Cell lengths 4.470, 4.309, 4.470 Å; angles 90.00, 90.00, 90.00 degrees
Site moments in Bohr magnetons follow the coordinates.
Fractional positions:
Os 0.000 0.000 0.500  0.62
Os 0.500 0.000 0.000  0.38
Ti 0.000 0.500 0.000  -0.17
Au 0.500 0.500 0.500  0.02
Ni 0.000 0.000 0.000  0.40

## Properties
Size of the total moment = 1.266 Bohr magnetons per cell
Energy relative to the elements = 1.142 eV/atom
Symmetry = No. 123
Raw total energy = -6.741 eV/atom

***

Density functional theory data (PBE) for an optimized crystal structure of ZrNiOsAu2.

Cell lengths 4.617, 4.521, 4.617 Å; angles 90.00, 90.00, 90.00 degrees
Fractional positions:
Os 0.500 0.500 0.500
Au 0.000 0.000 0.500
Au 0.500 0.000 0.000
Zr 0.000 0.500 0.000
Ni 0.000 0.000 0.000

## Properties
Size of the total moment = 0.000 Bohr magnetons per cell
Energy relative to the elements = 0.943 eV/atom
Symmetry = No. 123
Raw total energy = -5.479 eV/atom

***

What are the volume values for these records? In order: 57.1, 61.9, 62.9, 96.1, 58.0, 58.8, 115.1, 112.7, 104.7, 92.1, 86.1, 96.4 Å³/cell.